1.
Material: Pm5Nd2Ho3
Method: DFT, PBE
State: optimized geometry

Structure (POSCAR):
```
Pm5Nd2Ho3
1.0
-5.673 7.639 -1.816
-9.114 -2.714 -2.127
5.505 -2.062 9.552
Pm Ho Nd
10 6 4
Cartesian
-6.096 0.578 -1.031
-2.436 2.125 3.632
-4.155 -3.051 3.473
-6.845 0.737 1.977
-5.126 5.914 2.136
0.605 1.033 6.282
-2.946 -0.537 1.181
-9.886 1.829 -0.673
-6.335 3.399 4.429
-3.185 2.284 6.640
-5.817 -2.543 0.625
-7.040 3.840 -0.017
-4.344 5.748 -1.002
-2.241 -0.977 5.626
-3.464 5.405 4.984
-4.937 -2.886 6.611
-5.192 0.037 4.794
-0.493 4.387 5.734
-4.090 2.826 0.816
-8.788 -1.524 -0.125
```

Results
E_form in meV per atom: 186
Space-group type: No. 15

=====

2.
Material: CeNd2ScP4
Method: DFT, PBE
State: optimized geometry

Structure (POSCAR):
```
CeNd2ScP4
1.0
-1.730 -3.420 -1.322
4.012 0.177 -5.709
3.284 -3.611 5.045
P Sc Nd Ce
4 1 2 1
Cartesian
0.922 -2.516 -0.914
4.643 -4.338 -1.072
3.581 -2.733 2.383
3.714 -0.701 -3.047
1.141 -1.622 -3.516
3.648 -1.717 -0.332
0.777 -3.516 1.861
0.000 0.000 0.000
```

Results
E_form in meV per atom: -1487
Space-group type: No. 10

=====

3.
Material: ScTi2RhN
Method: DFT, PBE
State: optimized geometry

Structure (POSCAR):
```
ScTi2RhN
1.0
4.079 0.000 0.000
0.000 4.079 0.000
0.000 0.000 4.369
Ti N Rh Sc
2 1 1 1
Cartesian
2.039 0.000 0.000
0.000 2.039 0.000
0.000 0.000 0.000
2.039 2.039 2.185
0.000 0.000 2.185
```

Results
Energy relative to the elements, uncorrected in meV/atom: -986
Space-group type: No. 123

=====

4.
Material: LiYIn4Ag2
Method: DFT, PBE
State: optimized geometry

Structure (POSCAR):
```
LiYIn4Ag2
1.0
-2.274 -3.884 -1.946
1.518 -4.532 1.094
-5.536 -2.993 6.267
In Li Ag Y
4 1 2 1
Cartesian
-3.488 -2.920 3.729
-1.315 -5.639 0.438
-4.977 -5.770 4.977
-2.803 -8.488 1.687
-3.146 -5.704 2.708
-1.579 -2.852 1.361
-4.713 -8.556 4.055
0.000 0.000 0.000
```

Results
E_form in meV per atom: -217
Space-group type: No. 166

=====

5.
Material: CaSiAs2
Method: DFT, PBE
State: optimized geometry

Structure (POSCAR):
```
CaSiAs2
1.0
-1.687 4.911 3.244
-5.714 -0.461 -2.274
-1.911 -5.964 8.034
As Ca Si
8 4 4
Cartesian
-3.904 -1.406 3.108
-5.407 -0.109 5.897
-1.967 1.852 5.229
-7.345 -3.367 3.775
-4.490 2.632 2.736
-0.787 0.752 1.463
-8.525 -2.267 7.542
-4.822 -4.147 6.268
-6.763 -1.377 1.684
-2.549 -0.137 7.320
-5.638 -1.867 8.333
-3.674 0.353 0.672
-6.939 -5.036 5.457
-4.392 1.860 5.011
-2.373 3.522 3.547
-4.919 -3.375 3.993
```

Results
Energy relative to the elements, uncorrected in meV/atom: -527
Space-group type: No. 13

=====

6.
Material: CrTe2IN
Method: DFT, PBE
State: optimized geometry

Structure (POSCAR):
```
CrTe2IN
1.0
-4.885 0.540 -0.430
-0.406 -4.733 -1.333
-0.610 -1.402 5.166
I N Te Cr
1 1 2 1
Cartesian
-0.305 -0.701 2.583
-2.950 -2.797 1.702
-2.442 0.270 -0.215
-0.203 -2.366 -0.666
0.000 0.000 0.000
```

Results
Energy relative to the elements, uncorrected in meV/atom: 1586
Space-group type: No. 123